[1]
The following is a DFT calculation (PBE) of a relaxed structure of AcCeDyMg.

Computed properties:
Magnetization = 1.74 μB per formula unit
Formation energy from the elements = 0.194 eV/atom
DOS(E_F) = 2.49 states/eV per atom

a b c (Å): 5.7043 5.7043 5.7043
angles (deg): 60.00 60.00 60.00
With the nearest neighbours (Å) after each atom.
Positions (direct):
Mg  0.0000  0.0000  0.0000  4 Ce 3.49, 4 Dy 3.49
Ce  0.2500  0.2500  0.2500  4 Ac 3.49, 4 Mg 3.49
Ac  0.5000  0.5000  0.5000  4 Dy 3.49, 4 Ce 3.49
Dy  0.7500  0.7500  0.7500  4 Mg 3.49, 4 Ac 3.49

[2]
The following is a DFT calculation (PBE) of a relaxed structure of AcCeDy2N4.

Computed properties:
Magnetization = 0.40 μB per formula unit
Uncorrected formation energy = -1.411 eV/atom
DOS(E_F) = 0.50 states/eV per atom

a b c (Å): 3.5990 6.2564 6.2533
angles (deg): 70.86 90.00 90.00
With the nearest neighbours (Å) after each atom.
Positions (direct):
N  0.0000  0.7604  0.7577  3 Dy 2.46-2.55, 2 Ce 2.56, 1 Ac 2.64
Ac  0.0000  0.5000  0.5000  6 N 2.64-2.65
N  0.5000  0.2353  0.7717  3 Dy 2.46-2.59, 1 Ce 2.52, 2 Ac 2.65
N  0.5000  0.7647  0.2283  3 Dy 2.46-2.59, 1 Ce 2.52, 2 Ac 2.65
Dy  0.5000  0.0000  0.5000  6 N 2.55-2.59
Dy  0.0000  0.0000  0.0000  6 N 2.46
N  0.0000  0.2396  0.2423  3 Dy 2.46-2.55, 2 Ce 2.56, 1 Ac 2.64
Ce  0.5000  0.5000  0.0000  6 N 2.52-2.56

[3]
The following is a DFT calculation (PBE) of a relaxed structure of Ac2CeDyP4.

Computed properties:
Magnetization = 0.50 μB per formula unit
Formation energy from the elements = -1.477 eV/atom
DOS(E_F) = 0.72 states/eV per atom

a b c (Å): 4.2432 7.3776 7.3313
angles (deg): 70.64 90.00 90.00
With the nearest neighbours (Å) after each atom.
Positions (direct):
Ac  0.5000  0.0000  0.5000  6 P 3.10
P  0.0000  0.7261  0.7569  1 Dy 2.90, 2 Ce 2.91, 3 Ac 3.10-3.11
P  0.5000  0.2737  0.7419  1 Ce 2.91, 2 Dy 2.91, 3 Ac 3.10
Dy  0.0000  0.5000  0.5000  6 P 2.90-2.91
P  0.0000  0.2739  0.2431  1 Dy 2.90, 2 Ce 2.91, 3 Ac 3.10-3.11
P  0.5000  0.7263  0.2581  1 Ce 2.91, 2 Dy 2.91, 3 Ac 3.10
Ac  0.0000  0.0000  0.0000  6 P 3.10-3.11
Ce  0.5000  0.5000  0.0000  6 P 2.91

[4]
The following is a DFT calculation (PBE) of a relaxed structure of AcCePmDy.

Computed properties:
Magnetization = 1.02 μB per formula unit
Formation energy from the elements = 0.209 eV/atom
DOS(E_F) = 2.99 states/eV per atom

a b c (Å): 5.8737 5.8737 5.8737
angles (deg): 60.00 60.00 60.00
With the nearest neighbours (Å) after each atom.
Positions (direct):
Ce  0.0000  0.0000  0.0000  4 Dy 3.60, 4 Pm 3.60
Dy  0.2500  0.2500  0.2500  4 Ac 3.60, 4 Ce 3.60
Pm  0.7500  0.7500  0.7500  4 Ce 3.60, 4 Ac 3.60
Ac  0.5000  0.5000  0.5000  4 Pm 3.60, 4 Dy 3.60

[5]
The following is a DFT calculation (PBE) of a relaxed structure of AcCeDyPu.

Computed properties:
Magnetization = 8.56 μB per formula unit
Formation energy from the elements = 0.276 eV/atom
DOS(E_F) = 3.60 states/eV per atom

a b c (Å): 5.7284 5.7284 5.7284
angles (deg): 60.00 60.00 60.00
With the nearest neighbours (Å) after each atom.
Positions (direct):
Dy  0.0000  0.0000  0.0000  4 Ac 3.51, 4 Pu 3.51
Ac  0.2500  0.2500  0.2500  4 Ce 3.51, 4 Dy 3.51
Pu  0.7500  0.7500  0.7500  4 Dy 3.51, 4 Ce 3.51
Ce  0.5000  0.5000  0.5000  4 Pu 3.51, 4 Ac 3.51

[6]
The following is a DFT calculation (PBE) of a relaxed structure of Ac2CeDyS6.

Computed properties:
Magnetization = 1.01 μB per formula unit
Uncorrected formation energy = -2.066 eV/atom
DOS(E_F) = 0.47 states/eV per atom

a b c (Å): 7.3425 7.3425 7.5810
angles (deg): 61.04 61.04 60.00
With the nearest neighbours (Å) after each atom.
Positions (direct):
Dy  0.3157  0.3157  0.0530  6 S 2.72-2.78
S  0.4428  0.6823  0.7643  1 Dy 2.78, 1 Ce 2.80, 2 Ac 2.96-3.04
S  0.1106  0.4428  0.7643  1 Dy 2.78, 1 Ce 2.80, 2 Ac 2.96-3.04
S  0.6823  0.1106  0.7643  1 Dy 2.78, 1 Ce 2.80, 2 Ac 2.96-3.04
Ac  0.5282  0.5282  0.4154  6 S 2.98-3.04
Ac  0.0271  0.0271  0.9187  6 S 2.96-3.05
S  0.1881  0.9540  0.2591  1 Dy 2.72, 1 Ce 2.88, 1 Ac 2.98
S  0.5989  0.1881  0.2591  1 Dy 2.72, 1 Ce 2.88, 1 Ac 2.98
Ce  0.8140  0.8140  0.5580  6 S 2.80-2.88
S  0.9540  0.5989  0.2591  1 Dy 2.72, 1 Ce 2.88, 1 Ac 2.98